AlSiMo: optimized geometry, PBE.

As for the total magnetization: 0.000 μB per atom. Its energy relative to the elements, uncorrected is -0.41 eV per atom. For the density of states at the Fermi level, the calculation gives 1.75 states/eV/f.u.

Geometry as CIF:
```
data_AlSiMo
_chemical_formula_sum 'Al8 Si8 Mo8'
_cell_length_a 4.7708
_cell_length_b 8.7681
_cell_length_c 8.2618
_cell_angle_alpha 90.00
_cell_angle_beta 90.00
_cell_angle_gamma 90.00
_symmetry_space_group_name_H-M 'F d d 2'
_symmetry_Int_Tables_number 43
_symmetry_space_group_name_Hall 'F 2 -2d'
loop_
_atom_site_label
_atom_site_type_symbol
_atom_site_fract_x
_atom_site_fract_y
_atom_site_fract_z
_atom_site_occupancy
Al1 Al 0.0000 0.0000 0.0000 1
Si1 Si 0.0000 0.0000 0.6745 1
Mo1 Mo 0.0000 0.0000 0.3395 1
```

=====

HfAgPS2: optimized geometry, PBE.

As for the total magnetization: 0.060 μB per atom. Its energy relative to the elements, uncorrected is -0.09 eV per atom. For the density of states at the Fermi level, the calculation gives 5.67 states/eV/f.u.

Geometry as CIF:
```
data_HfAgPS2
_chemical_formula_sum 'Hf1 Ag1 P1 S2'
_cell_length_a 4.9149
_cell_length_b 4.9149
_cell_length_c 5.0486
_cell_angle_alpha 90.00
_cell_angle_beta 90.00
_cell_angle_gamma 90.00
_symmetry_space_group_name_H-M 'P 4/m m m'
_symmetry_Int_Tables_number 123
_symmetry_space_group_name_Hall '-P 4 2'
loop_
_atom_site_label
_atom_site_type_symbol
_atom_site_fract_x
_atom_site_fract_y
_atom_site_fract_z
_atom_site_occupancy
Hf1 Hf 0.0000 0.0000 0.0000 1
Ag1 Ag 0.5000 0.5000 0.5000 1
P1 P 0.0000 0.0000 0.5000 1
S1 S 0.0000 0.5000 0.0000 1
```

=====

CdTc: optimized geometry, PBE.

As for the total magnetization: 0.000 μB per atom. The calculation puts the formation energy at 779 meV per atom. For the density of states at the Fermi level, the calculation gives 2.03 states/eV/f.u.

Geometry as CIF:
```
data_CdTc
_chemical_formula_sum 'Cd1 Tc1'
_cell_length_a 3.2424
_cell_length_b 3.2424
_cell_length_c 3.2424
_cell_angle_alpha 90.00
_cell_angle_beta 90.00
_cell_angle_gamma 90.00
_symmetry_space_group_name_H-M 'P m -3 m'
_symmetry_Int_Tables_number 221
_symmetry_space_group_name_Hall '-P 4 2 3'
loop_
_atom_site_label
_atom_site_type_symbol
_atom_site_fract_x
_atom_site_fract_y
_atom_site_fract_z
_atom_site_occupancy
Cd1 Cd 0.0000 0.0000 0.0000 1
Tc1 Tc 0.5000 0.5000 0.5000 1
```

=====

Tl3BIr: optimized geometry, PBE.

As for the total magnetization: 0.232 μB per atom. The calculation puts the formation energy at 1096 meV per atom. For the density of states at the Fermi level, the calculation gives 4.94 states/eV/f.u.

Geometry as CIF:
```
data_Tl3BIr
_chemical_formula_sum 'Tl3 B1 Ir1'
_cell_length_a 5.2843
_cell_length_b 5.2843
_cell_length_c 5.2843
_cell_angle_alpha 90.00
_cell_angle_beta 90.00
_cell_angle_gamma 90.00
_symmetry_space_group_name_H-M 'P m -3 m'
_symmetry_Int_Tables_number 221
_symmetry_space_group_name_Hall '-P 4 2 3'
loop_
_atom_site_label
_atom_site_type_symbol
_atom_site_fract_x
_atom_site_fract_y
_atom_site_fract_z
_atom_site_occupancy
Tl1 Tl 0.0000 0.0000 0.5000 1
B1 B 0.5000 0.5000 0.5000 1
Ir1 Ir 0.0000 0.0000 0.0000 1
```

=====

CaTaSb2: optimized geometry, PBE.

As for the total magnetization: 0.000 μB per atom. Its energy relative to the elements, uncorrected is -0.31 eV per atom. For the density of states at the Fermi level, the calculation gives 2.94 states/eV/f.u.

Geometry as CIF:
```
data_CaTaSb2
_chemical_formula_sum 'Ca3 Ta3 Sb6'
_cell_length_a 4.0110
_cell_length_b 4.0110
_cell_length_c 22.6990
_cell_angle_alpha 90.00
_cell_angle_beta 90.00
_cell_angle_gamma 120.00
_symmetry_space_group_name_H-M 'R -3 m'
_symmetry_Int_Tables_number 166
_symmetry_space_group_name_Hall '-R 3 2"'
loop_
_atom_site_label
_atom_site_type_symbol
_atom_site_fract_x
_atom_site_fract_y
_atom_site_fract_z
_atom_site_occupancy
Ca1 Ca 0.0000 0.0000 0.0000 1
Ta1 Ta 0.0000 0.0000 0.5000 1
Sb1 Sb 0.0000 0.0000 0.2396 1
```

=====

BeFeP2Cl: optimized geometry, PBE.

As for the total magnetization: 0.658 μB per atom. Its energy relative to the elements, uncorrected is 0.73 eV per atom. For the density of states at the Fermi level, the calculation gives 6.16 states/eV/f.u.

Geometry as CIF:
```
data_BeFeP2Cl
_chemical_formula_sum 'Be1 Fe1 P2 Cl1'
_cell_length_a 4.1784
_cell_length_b 4.1784
_cell_length_c 4.7863
_cell_angle_alpha 90.00
_cell_angle_beta 90.00
_cell_angle_gamma 90.00
_symmetry_space_group_name_H-M 'P 4/m m m'
_symmetry_Int_Tables_number 123
_symmetry_space_group_name_Hall '-P 4 2'
loop_
_atom_site_label
_atom_site_type_symbol
_atom_site_fract_x
_atom_site_fract_y
_atom_site_fract_z
_atom_site_occupancy
Be1 Be 0.0000 0.0000 0.0000 1
Fe1 Fe 0.5000 0.5000 0.5000 1
P1 P 0.0000 0.5000 0.0000 1
Cl1 Cl 0.0000 0.0000 0.5000 1
```

=====

GaCo3Ir: optimized geometry, PBE.

As for the total magnetization: 1.250 μB per atom. The calculation puts the formation energy at 1242 meV per atom. For the density of states at the Fermi level, the calculation gives 7.21 states/eV/f.u.

Geometry as CIF:
```
data_GaCo3Ir
_chemical_formula_sum 'Ga1 Co3 Ir1'
_cell_length_a 4.5725
_cell_length_b 4.5725
_cell_length_c 4.5725
_cell_angle_alpha 90.00
_cell_angle_beta 90.00
_cell_angle_gamma 90.00
_symmetry_space_group_name_H-M 'P m -3 m'
_symmetry_Int_Tables_number 221
_symmetry_space_group_name_Hall '-P 4 2 3'
loop_
_atom_site_label
_atom_site_type_symbol
_atom_site_fract_x
_atom_site_fract_y
_atom_site_fract_z
_atom_site_occupancy
Ga1 Ga 0.0000 0.0000 0.0000 1
Co1 Co 0.0000 0.5000 0.5000 1
Ir1 Ir 0.5000 0.5000 0.5000 1
```

=====

BaAg2SnPb2: optimized geometry, PBE.

As for the total magnetization: 0.000 μB per atom. The calculation puts the formation energy at -33 meV per atom. For the density of states at the Fermi level, the calculation gives 4.60 states/eV/f.u.

Geometry as CIF:
```
data_BaAg2SnPb2
_chemical_formula_sum 'Ba1 Ag2 Sn1 Pb2'
_cell_length_a 5.3206
_cell_length_b 5.3206
_cell_length_c 6.8902
_cell_angle_alpha 90.00
_cell_angle_beta 90.00
_cell_angle_gamma 90.00
_symmetry_space_group_name_H-M 'P 4/m m m'
_symmetry_Int_Tables_number 123
_symmetry_space_group_name_Hall '-P 4 2'
loop_
_atom_site_label
_atom_site_type_symbol
_atom_site_fract_x
_atom_site_fract_y
_atom_site_fract_z
_atom_site_occupancy
Ba1 Ba 0.0000 0.0000 0.0000 1
Ag1 Ag 0.0000 0.5000 0.5000 1
Sn1 Sn 0.0000 0.0000 0.5000 1
Pb1 Pb 0.5000 0.5000 0.2463 1
```

=====

Ta2FeW: optimized geometry, PBE.

As for the total magnetization: 0.267 μB per atom. The calculation puts the formation energy at 58 meV per atom. For the density of states at the Fermi level, the calculation gives 3.03 states/eV/f.u.

Geometry as CIF:
```
data_Ta2FeW
_chemical_formula_sum 'Ta4 Fe2 W2'
_cell_length_a 5.5554
_cell_length_b 8.8145
_cell_length_c 2.7777
_cell_angle_alpha 90.00
_cell_angle_beta 109.75
_cell_angle_gamma 90.00
_symmetry_space_group_name_H-M 'C 1 2/m 1'
_symmetry_Int_Tables_number 12
loop_
_symmetry_equiv_pos_as_xyz
'x,y,z'
'-x,-y,-z'
'-x,y,-z'
'x,-y,z'
'x+1/2,y+1/2,z'
'-x+1/2,-y+1/2,-z'
'-x+1/2,y+1/2,-z'
'x+1/2,-y+1/2,z'
loop_
_atom_site_label
_atom_site_type_symbol
_atom_site_fract_x
_atom_site_fract_y
_atom_site_fract_z
_atom_site_occupancy
Ta1 Ta 0.2500 0.2500 0.0000 1
Fe1 Fe 0.0000 0.0000 0.5000 1
W1 W 0.0000 0.5000 0.5000 1
```

=====

Na2Cd2TcO6: optimized geometry, PBE.

As for the total magnetization: 0.066 μB per atom. Its energy relative to the elements, uncorrected is -1.26 eV per atom. For the density of states at the Fermi level, the calculation gives 3.17 states/eV/f.u.

Geometry as CIF:
```
data_Na2Cd2TcO6
_chemical_formula_sum 'Na4 Cd4 Tc2 O12'
_cell_length_a 5.8816
_cell_length_b 9.6319
_cell_length_c 5.8288
_cell_angle_alpha 90.00
_cell_angle_beta 109.80
_cell_angle_gamma 90.00
_symmetry_space_group_name_H-M 'C 1 2/m 1'
_symmetry_Int_Tables_number 12
loop_
_symmetry_equiv_pos_as_xyz
'x,y,z'
'-x,-y,-z'
'-x,y,-z'
'x,-y,z'
'x+1/2,y+1/2,z'
'-x+1/2,-y+1/2,-z'
'-x+1/2,y+1/2,-z'
'x+1/2,-y+1/2,z'
loop_
_atom_site_label
_atom_site_type_symbol
_atom_site_fract_x
_atom_site_fract_y
_atom_site_fract_z
_atom_site_occupancy
Na1 Na 0.0000 0.1708 0.0000 1
Cd1 Cd 0.0000 0.3402 0.5000 1
Tc1 Tc 0.0000 0.0000 0.5000 1
O1 O 0.2037 0.1453 0.7026 1
O2 O 0.2053 0.0000 0.2974 1
```

=====

Zn2Co3: optimized geometry, PBE.

As for the total magnetization: 0.312 μB per atom. The calculation puts the formation energy at 34 meV per atom. For the density of states at the Fermi level, the calculation gives 5.17 states/eV/f.u.

Geometry as CIF:
```
data_Zn2Co3
_chemical_formula_sum 'Zn6 Co9'
_cell_length_a 2.5813
_cell_length_b 2.5813
_cell_length_c 31.1854
_cell_angle_alpha 90.00
_cell_angle_beta 90.00
_cell_angle_gamma 120.00
_symmetry_space_group_name_H-M 'R -3 m'
_symmetry_Int_Tables_number 166
_symmetry_space_group_name_Hall '-R 3 2"'
loop_
_atom_site_label
_atom_site_type_symbol
_atom_site_fract_x
_atom_site_fract_y
_atom_site_fract_z
_atom_site_occupancy
Zn1 Zn 0.0000 0.0000 0.0990 1
Co1 Co 0.0000 0.0000 0.3028 1
Co2 Co 0.0000 0.0000 0.5000 1
```

=====

Zn3Se: optimized geometry, PBE.

As for the total magnetization: 0.000 μB per atom. Its energy relative to the elements, uncorrected is 0.04 eV per atom. For the density of states at the Fermi level, the calculation gives 0.91 states/eV/f.u.

Geometry as CIF:
```
data_Zn3Se
_chemical_formula_sum 'Zn6 Se2'
_cell_length_a 5.1448
_cell_length_b 7.7587
_cell_length_c 3.6501
_cell_angle_alpha 90.00
_cell_angle_beta 90.00
_cell_angle_gamma 90.00
_symmetry_space_group_name_H-M 'C m m m'
_symmetry_Int_Tables_number 65
_symmetry_space_group_name_Hall '-C 2 2'
loop_
_atom_site_label
_atom_site_type_symbol
_atom_site_fract_x
_atom_site_fract_y
_atom_site_fract_z
_atom_site_occupancy
Zn1 Zn 0.0000 0.0000 0.0000 1
Zn2 Zn 0.2500 0.2500 0.5000 1
Se1 Se 0.0000 0.5000 0.0000 1
```